No. 1
Computed, not measured: a relaxed TlZnF3 crystal at the GGA-PBE level of DFT.

a b c (Å): 7.855 7.855 7.743
angles (deg): 107.01 107.01 23.44
Sites, in units of the cell vectors:
Tl1 0.117 0.117 0.366
Tl2 0.883 0.883 0.634
Zn1 0.336 0.336 0.163
Zn2 0.664 0.664 0.837
F1 0.080 0.080 0.712
F2 0.187 0.187 0.027
F3 0.292 0.292 0.381
F4 0.708 0.708 0.619
F5 0.813 0.813 0.973
F6 0.920 0.920 0.288

Summary:
N(E_F): 0.000 states/eV/atom
Energy relative to the elements, uncorrected: -10.08 eV per formula unit
Space-group type: C2/m, No. 12

***

No. 2
Computed, not measured: a relaxed FeCuPdAu crystal at the GGA-PBE level of DFT.

a b c (Å): 4.355 4.355 4.355
angles (deg): 60.00 60.00 60.00
Sites, in units of the cell vectors:
Fe1 0.000 0.000 0.000
Cu1 0.500 0.500 0.500
Pd1 0.250 0.250 0.250
Au1 0.750 0.750 0.750

Summary:
N(E_F): 0.897 states/eV/atom
Space-group type: F-43m, No. 216
DFT formation energy: 0.012 eV/atom

***

No. 3
Computed, not measured: a relaxed CoRuSe crystal at the GGA-PBE level of DFT.

a b c (Å): 4.462 4.462 4.462
angles (deg): 140.50 130.73 64.90
Sites, in units of the cell vectors:
Co1 0.000 0.000 0.000
Ru1 0.654 0.654 0.000
Se1 0.316 0.316 0.000

Summary:
N(E_F): 0.903 states/eV/atom
Energy relative to the elements, uncorrected: 1.08 eV per formula unit
Space-group type: Imm2, No. 44
Energy above the most stable polymorph in this dataset: 18.6 kJ/mol of atoms

***

No. 4
Computed, not measured: a relaxed AcPrYSc crystal at the GGA-PBE level of DFT.

a b c (Å): 5.799 5.799 5.799
angles (deg): 60.00 60.00 60.00
Sites, in units of the cell vectors:
Ac1 0.000 0.000 0.000
Pr1 0.250 0.250 0.250
Y1 0.750 0.750 0.750
Sc1 0.500 0.500 0.500

Summary:
N(E_F): 2.351 states/eV/atom
Space-group type: F-43m, No. 216
DFT formation energy: 0.199 eV/atom

***

No. 5
Computed, not measured: a relaxed Ca2FeCl crystal at the GGA-PBE level of DFT.

a b c (Å): 5.320 5.320 5.320
angles (deg): 60.00 60.00 60.00
Sites, in units of the cell vectors:
Ca1 0.000 0.000 0.000
Ca2 0.250 0.250 0.250
Fe1 0.750 0.750 0.750
Cl1 0.500 0.500 0.500

Summary:
N(E_F): 0.492 states/eV/atom
Energy relative to the elements, uncorrected: 1.27 eV per formula unit
Space-group type: F-43m, No. 216
Energy above the most stable polymorph in this dataset: 76.8 kJ/mol of atoms

***

No. 6
Computed, not measured: a relaxed CeNdOs crystal at the GGA-PBE level of DFT.

a b c (Å): 5.564 8.908 7.550
angles (deg): 90.00 115.51 90.00
Sites, in units of the cell vectors:
Ce1 0.224 0.124 0.469
Ce2 0.224 0.376 0.969
Ce3 0.776 0.624 0.031
Ce4 0.776 0.876 0.531
Nd1 0.277 0.627 0.533
Nd2 0.277 0.873 0.033
Nd3 0.723 0.127 0.967
Nd4 0.723 0.373 0.467
Os1 0.046 0.127 0.743
Os2 0.046 0.373 0.243
Os3 0.954 0.627 0.757
Os4 0.954 0.873 0.257

Summary:
N(E_F): 1.416 states/eV/atom
Space-group type: P2_1/c, No. 14
DFT formation energy: -0.093 eV/atom
Energy above the most stable polymorph in this dataset: 2.0 kJ/mol of atoms

***

No. 7
Computed, not measured: a relaxed La2Te2Br crystal at the GGA-PBE level of DFT.

a b c (Å): 9.634 9.634 8.128
angles (deg): 90.00 90.00 152.99
Sites, in units of the cell vectors:
La1 0.060 0.940 0.500
La2 0.307 0.693 0.477
La3 0.693 0.307 0.977
La4 0.940 0.060 0.000
Te1 0.308 0.692 0.063
Te2 0.452 0.548 0.704
Te3 0.548 0.452 0.204
Te4 0.692 0.308 0.563
Br1 0.096 0.904 0.866
Br2 0.904 0.096 0.366

Summary:
N(E_F): 0.654 states/eV/atom
Energy relative to the elements, uncorrected: -7.89 eV per formula unit
Space-group type: Cmc2_1, No. 36
Energy above the most stable polymorph in this dataset: 10.7 kJ/mol of atoms

***

No. 8
Computed, not measured: a relaxed NdTm3Co crystal at the GGA-PBE level of DFT.

a b c (Å): 7.772 7.300 9.847
angles (deg): 90.00 107.25 90.00
Sites, in units of the cell vectors:
Nd1 0.181 0.057 0.253
Nd2 0.181 0.443 0.753
Nd3 0.819 0.557 0.247
Nd4 0.819 0.943 0.747
Tm1 0.091 0.699 0.038
Tm2 0.091 0.801 0.538
Tm3 0.295 0.507 0.388
Tm4 0.295 0.993 0.888
Tm5 0.422 0.128 0.610
Tm6 0.422 0.372 0.110
Tm7 0.578 0.628 0.890
Tm8 0.578 0.872 0.390
Tm9 0.705 0.007 0.112
Tm10 0.705 0.493 0.612
Tm11 0.909 0.199 0.462
Tm12 0.909 0.301 0.962
Co1 0.450 0.747 0.604
Co2 0.450 0.753 0.104
Co3 0.550 0.247 0.896
Co4 0.550 0.253 0.396

Summary:
N(E_F): 1.156 states/eV/atom
Space-group type: P2_1/c, No. 14
DFT formation energy: -0.042 eV/atom
Energy above the most stable polymorph in this dataset: 6.9 kJ/mol of atoms

***

| no. | V (A^3/atom) |
| --- | --- |
| 1 | 18.14 |
| 2 | 14.60 |
| 3 | 14.08 |
| 4 | 34.48 |
| 5 | 26.62 |
| 6 | 28.14 |
| 7 | 34.25 |
| 8 | 26.67 |